[1]
YSiTe2: relaxed, PBE.

**V**: 36.09 A^3/atom
**Crystal system**: tetragonal
**Magnetic moment**: 0.000 μB per atom
**Energy relative to the elements, uncorrected**: -0.191 eV/atom
**E_tot**: -0.174 Ha/atom

```
data_YSiTe2
_cell_length_a 9.118
_cell_length_b 9.118
_cell_length_c 9.118
_cell_angle_alpha 141.73
_cell_angle_beta 141.73
_cell_angle_gamma 55.23
_space_group_name_H-M_alt 'P 1'
_space_group_IT_number 1
loop_
_space_group_symop_operation_xyz
'x,y,z'
loop_
_atom_site_label
_atom_site_fract_x
_atom_site_fract_y
_atom_site_fract_z
Y1 0.000 0.000 0.000
Y2 0.750 0.250 0.500
Si1 0.250 0.750 0.500
Si2 0.500 0.500 0.000
Te1 0.151 0.625 0.026
Te2 0.375 0.401 0.526
Te3 0.599 0.125 0.974
Te4 0.875 0.849 0.474
```

[2]
CeNdN: relaxed, PBE.

**Offset from the most stable computed form**: 89 meV per atom
**V**: 26.00 A^3/atom
**Crystal system**: monoclinic
**Magnetic moment**: 0.099 μB per atom
**Energy relative to the elements, uncorrected**: -0.772 eV/atom
**E_tot**: -0.261 Ha/atom

```
data_CeNdN
_cell_length_a 3.957
_cell_length_b 5.385
_cell_length_c 7.521
_cell_angle_alpha 90.00
_cell_angle_beta 103.25
_cell_angle_gamma 90.00
_space_group_name_H-M_alt 'P 1'
_space_group_IT_number 1
loop_
_space_group_symop_operation_xyz
'x,y,z'
loop_
_atom_site_label
_atom_site_fract_x
_atom_site_fract_y
_atom_site_fract_z
Ce1 0.136 0.250 0.313
Ce2 0.864 0.750 0.687
Nd1 0.437 0.250 0.850
Nd2 0.563 0.750 0.150
N1 0.424 0.750 0.825
N2 0.576 0.250 0.175
```

[3]
Ac7SbI12: relaxed, PBE.

**V**: 47.05 A^3/atom
**Crystal system**: trigonal
**Magnetic moment**: 0.000 μB per atom
**Energy relative to the elements, uncorrected**: -1.351 eV/atom
**E_tot**: -0.144 Ha/atom

```
data_Ac7SbI12
_cell_length_a 10.558
_cell_length_b 10.558
_cell_length_c 10.558
_cell_angle_alpha 108.37
_cell_angle_beta 108.37
_cell_angle_gamma 108.37
_space_group_name_H-M_alt 'P 1'
_space_group_IT_number 1
loop_
_space_group_symop_operation_xyz
'x,y,z'
loop_
_atom_site_label
_atom_site_fract_x
_atom_site_fract_y
_atom_site_fract_z
Ac1 0.000 0.000 0.000
Ac2 0.167 0.458 0.384
Ac3 0.384 0.167 0.458
Ac4 0.458 0.384 0.167
Ac5 0.542 0.616 0.833
Ac6 0.616 0.833 0.542
Ac7 0.833 0.542 0.616
Sb1 0.500 0.500 0.500
I1 0.021 0.104 0.343
I2 0.104 0.343 0.021
I3 0.192 0.579 0.730
I4 0.270 0.808 0.421
I5 0.343 0.021 0.104
I6 0.421 0.270 0.808
I7 0.579 0.730 0.192
I8 0.657 0.979 0.896
I9 0.730 0.192 0.579
I10 0.808 0.421 0.270
I11 0.896 0.657 0.979
I12 0.979 0.896 0.657
```

[4]
TmInSn2I8: relaxed, PBE.

**V**: 44.60 A^3/atom
**Crystal system**: triclinic
**Magnetic moment**: 0.000 μB per atom
**Energy relative to the elements, uncorrected**: -0.742 eV/atom
**E_tot**: -0.112 Ha/atom

```
data_TmInSn2I8
_cell_length_a 7.283
_cell_length_b 7.728
_cell_length_c 9.512
_cell_angle_alpha 89.98
_cell_angle_beta 89.96
_cell_angle_gamma 88.85
_space_group_name_H-M_alt 'P 1'
_space_group_IT_number 1
loop_
_space_group_symop_operation_xyz
'x,y,z'
loop_
_atom_site_label
_atom_site_fract_x
_atom_site_fract_y
_atom_site_fract_z
Tm1 0.000 0.000 0.000
In1 0.000 0.000 0.500
Sn1 0.500 0.500 0.250
Sn2 0.500 0.500 0.750
I1 0.235 0.322 0.000
I2 0.243 0.845 0.224
I3 0.244 0.845 0.776
I4 0.272 0.357 0.500
I5 0.728 0.643 0.500
I6 0.756 0.155 0.224
I7 0.757 0.155 0.776
I8 0.765 0.678 0.000
```

[5]
Ca3NdPa2As6: relaxed, PBE.

**V**: 26.28 A^3/atom
**Crystal system**: monoclinic
**Magnetic moment**: 0.000 μB per atom
**DFT formation energy**: -1241 meV/atom
**E_tot**: -0.222 Ha/atom

```
data_Ca3NdPa2As6
_cell_length_a 7.300
_cell_length_b 7.300
_cell_length_c 7.254
_cell_angle_alpha 99.67
_cell_angle_beta 99.67
_cell_angle_gamma 119.99
_space_group_name_H-M_alt 'P 1'
_space_group_IT_number 1
loop_
_space_group_symop_operation_xyz
'x,y,z'
loop_
_atom_site_label
_atom_site_fract_x
_atom_site_fract_y
_atom_site_fract_z
Ca1 0.000 0.000 0.000
Ca2 0.337 0.663 0.000
Ca3 0.663 0.337 0.000
Nd1 0.500 0.500 0.500
Pa1 0.167 0.833 0.500
Pa2 0.833 0.167 0.500
As1 0.075 0.422 0.265
As2 0.232 0.232 0.735
As3 0.422 0.075 0.265
As4 0.578 0.925 0.735
As5 0.768 0.768 0.265
As6 0.925 0.578 0.735
```

[6]
CdPtSe2: relaxed, PBE.

**V**: 25.09 A^3/atom
**Crystal system**: orthorhombic
**Magnetic moment**: 0.000 μB per atom
**Energy relative to the elements, uncorrected**: -0.339 eV/atom
**E_tot**: -0.140 Ha/atom

```
data_CdPtSe2
_cell_length_a 6.585
_cell_length_b 6.585
_cell_length_c 6.585
_cell_angle_alpha 146.88
_cell_angle_beta 139.67
_cell_angle_gamma 53.13
_space_group_name_H-M_alt 'P 1'
_space_group_IT_number 1
loop_
_space_group_symop_operation_xyz
'x,y,z'
loop_
_atom_site_label
_atom_site_fract_x
_atom_site_fract_y
_atom_site_fract_z
Cd1 0.000 0.000 0.000
Pt1 0.500 0.500 0.000
Se1 0.356 0.856 0.500
Se2 0.644 0.144 0.500
```

> V of number 2 (CeNdN)?

26.00 A^3/atom

> Which formula does entry 2 have?

CeNdN